The following is a DFT calculation (GGA-PBE) of a relaxed structure of Sr2U4O11.

The structure in POSCAR format:
```
Sr2U4O11
1.0
10.0388 -1.9185 0.0000
10.0388 1.9185 0.0000
-2.2755 0.0000 6.4168
Sr U O
2 4 11
Cartesian
0.0000 0.0000 0.0000 Sr
13.5490 0.0000 0.0561 Sr
2.2548 0.0000 3.1513 U
4.4803 0.0000 6.3391 U
8.9671 0.0000 3.0068 U
15.6834 0.0000 3.2050 U
-0.0389 0.0000 2.4279 O
2.2428 0.0000 1.0335 O
2.5091 0.0000 5.4024 O
4.6451 0.0000 3.8936 O
6.7729 0.0000 2.4364 O
8.8180 0.0000 0.7671 O
10.9637 0.0000 3.9268 O
13.4381 0.0000 2.6531 O
15.8344 0.0000 0.9073 O
15.4691 0.0000 5.4634 O
17.9654 0.0000 3.9640 O
```

Properties
Magnetic moment, μB per cell: 6.0
Calculated total energy, Ry/atom: -0.6788
Raw formation energy, eV per atom: -3.1735
Density, g/cm3: 8.8